1.
VASP calculation (PBE) on a relaxed TbCe4S5 crystal.

Summary:
The calculation puts the formation energy without anion corrections at -20.41 eV per formula unit. The space group is No. 87.

Cell lengths 6.9267, 6.9267, 6.9267 Å; angles 99.60, 99.60, 131.80 degrees
Positions (direct):
Tb1 0.0000 0.0000 0.0000
Ce1 0.1990 0.5993 0.7983
Ce2 0.4007 0.1990 0.5997
Ce3 0.5993 0.8010 0.4003
Ce4 0.8010 0.4007 0.2017
S1 0.0993 0.2952 0.3945
S2 0.2952 0.9007 0.1959
S3 0.5000 0.5000 0.0000
S4 0.7048 0.0993 0.8041
S5 0.9007 0.7048 0.6055

---

2.
VASP calculation (PBE) on a relaxed Er2MnSe crystal.

Summary:
The calculation puts the formation energy without anion corrections at -0.58 eV per formula unit. The space group is No. 166.

Cell lengths 9.5412, 9.5412, 9.5412 Å; angles 21.86, 21.86, 21.86 degrees
Positions (direct):
Er1 0.0995 0.0995 0.0995
Er2 0.9005 0.9005 0.9005
Mn1 0.0000 0.0000 0.0000
Se1 0.5000 0.5000 0.5000

---

3.
VASP calculation (PBE) on a relaxed DyBi2Rh crystal.

Summary:
As for the formation energy: -2.13 eV/f.u. The space group is No. 139.

Cell lengths 10.0656, 10.0656, 10.0656 Å; angles 153.57, 153.57, 37.72 degrees
Positions (direct):
Dy1 0.1419 0.1419 0.0000
Dy2 0.8581 0.8581 0.0000
Bi1 0.0000 0.5000 0.5000
Bi2 0.3344 0.3344 0.0000
Bi3 0.5000 0.0000 0.5000
Bi4 0.6656 0.6656 0.0000
Rh1 0.2500 0.7500 0.5000
Rh2 0.7500 0.2500 0.5000

---

4.
VASP calculation (PBE) on a relaxed Pm4HgC crystal.

Summary:
The value obtained for the offset from the most stable computed form is 39.3 kJ/mol of formula units. As for the formation energy: -0.55 eV/f.u. The space group is No. 10.

Cell lengths 6.5413, 3.6689, 8.1201 Å; angles 90.00, 109.21, 90.00 degrees
Positions (direct):
Pm1 0.2234 0.0000 0.1952
Pm2 0.2453 0.5000 0.8229
Pm3 0.7547 0.5000 0.1771
Pm4 0.7766 0.0000 0.8048
Hg1 0.0000 0.0000 0.5000
C1 0.0000 0.5000 0.0000

---

5.
VASP calculation (PBE) on a relaxed Pr2HoAg crystal.

Summary:
The value obtained for the offset from the most stable computed form is 22.4 kJ/mol of formula units. As for the formation energy: -0.12 eV/f.u. The space group is No. 15.

Cell lengths 6.8747, 6.8747, 6.5728 Å; angles 105.89, 105.89, 54.38 degrees
Positions (direct):
Pr1 0.2051 0.2249 0.1096
Pr2 0.2249 0.2051 0.6096
Pr3 0.7751 0.7949 0.3904
Pr4 0.7949 0.7751 0.8904
Ho1 0.3311 0.6689 0.7500
Ho2 0.6689 0.3311 0.2500
Ag1 0.1959 0.8041 0.2500
Ag2 0.8041 0.1959 0.7500

---

6.
VASP calculation (PBE) on a relaxed AcHoAg2Hg4 crystal.

Summary:
As for the formation energy: -2.53 eV/f.u. The space group is No. 166.

Cell lengths 9.6589, 9.6589, 9.6589 Å; angles 29.90, 29.90, 29.90 degrees
Positions (direct):
Ac1 0.0000 0.0000 0.0000
Ho1 0.5000 0.5000 0.5000
Ag1 0.2360 0.2360 0.2360
Ag2 0.7640 0.7640 0.7640
Hg1 0.1245 0.1245 0.1245
Hg2 0.3892 0.3892 0.3892
Hg3 0.6108 0.6108 0.6108
Hg4 0.8755 0.8755 0.8755

---

7.
VASP calculation (PBE) on a relaxed LaHoCu2 crystal.

Summary:
The value obtained for the offset from the most stable computed form is 11.8 kJ/mol of formula units. As for the formation energy: -0.69 eV/f.u. The space group is No. 225.

Cell lengths 5.0385, 5.0385, 5.0385 Å; angles 60.00, 60.00, 60.00 degrees
Positions (direct):
La1 0.0000 0.0000 0.0000
Ho1 0.5000 0.5000 0.5000
Cu1 0.2500 0.2500 0.2500
Cu2 0.7500 0.7500 0.7500

---

8.
VASP calculation (PBE) on a relaxed Pr3Ga2Rh7 crystal.

Summary:
As for the formation energy: -8.41 eV/f.u. The space group is No. 166.

Cell lengths 8.8686, 8.8686, 8.8686 Å; angles 36.41, 36.41, 36.41 degrees
Positions (direct):
Pr1 0.0000 0.0000 0.0000
Pr2 0.1406 0.1406 0.1406
Pr3 0.8594 0.8594 0.8594
Ga1 0.3340 0.3340 0.3340
Ga2 0.6660 0.6660 0.6660
Rh1 0.0790 0.5805 0.5805
Rh2 0.4195 0.4195 0.9210
Rh3 0.4195 0.9210 0.4195
Rh4 0.5000 0.5000 0.5000
Rh5 0.5805 0.0790 0.5805
Rh6 0.5805 0.5805 0.0790
Rh7 0.9210 0.4195 0.4195

---

9.
VASP calculation (PBE) on a relaxed InAsC2 crystal.

Summary:
The value obtained for the offset from the most stable computed form is 517.1 kJ/mol of formula units. As for the formation energy: 8.82 eV/f.u. The space group is No. 225.

Cell lengths 4.2274, 4.2274, 4.2274 Å; angles 60.00, 60.00, 60.00 degrees
Positions (direct):
In1 0.0000 0.0000 0.0000
As1 0.5000 0.5000 0.5000
C1 0.2500 0.2500 0.2500
C2 0.7500 0.7500 0.7500

---

10.
VASP calculation (PBE) on a relaxed Cr2TeS crystal.

Summary:
The value obtained for the offset from the most stable computed form is 0.0 kJ/mol of formula units. The calculation puts the formation energy without anion corrections at -0.49 eV per formula unit. The space group is No. 122.

Cell lengths 7.3298, 7.3298, 7.3298 Å; angles 134.06, 134.06, 67.00 degrees
Positions (direct):
Cr1 0.0699 0.6250 0.9449
Cr2 0.3750 0.3199 0.4449
Cr3 0.6801 0.1250 0.0551
Cr4 0.8750 0.9301 0.5551
Te1 0.2500 0.7500 0.5000
Te2 0.5000 0.5000 0.0000
S1 0.0000 0.0000 0.0000
S2 0.7500 0.2500 0.5000

---

11.
VASP calculation (PBE) on a relaxed Hf2NiAu crystal.

Summary:
The value obtained for the offset from the most stable computed form is 0.0 kJ/mol of formula units. As for the formation energy: -1.68 eV/f.u. The space group is No. 123.

Cell lengths 3.2074, 3.2074, 6.9490 Å; angles 90.00, 90.00, 90.00 degrees
Positions (direct):
Hf1 0.0000 0.0000 0.2271
Hf2 0.0000 0.0000 0.7729
Ni1 0.5000 0.5000 0.0000
Au1 0.5000 0.5000 0.5000

---

12.
VASP calculation (PBE) on a relaxed Tl2CrRe crystal.

Summary:
The value obtained for the offset from the most stable computed form is 317.8 kJ/mol of formula units. As for the formation energy: 5.36 eV/f.u. The space group is No. 122.

Cell lengths 6.1193, 6.1193, 6.1193 Å; angles 102.91, 102.91, 123.58 degrees
Positions (direct):
Tl1 0.1238 0.6250 0.9988
Tl2 0.3750 0.3738 0.4988
Tl3 0.6262 0.1250 0.0012
Tl4 0.8750 0.8762 0.5012
Cr1 0.2500 0.7500 0.5000
Cr2 0.5000 0.5000 0.0000
Re1 0.0000 0.0000 0.0000
Re2 0.7500 0.2500 0.5000

---

| no. | E_tot (eV per atom) |
| --- | --- |
| 1 | -6.94 |
| 2 | -5.59 |
| 3 | -5.46 |
| 4 | -4.85 |
| 5 | -4.28 |
| 6 | -2.27 |
| 7 | -4.60 |
| 8 | -6.69 |
| 9 | -4.26 |
| 10 | -6.75 |
| 11 | -7.66 |
| 12 | -5.36 |